! TiNbO4 | the Alexandria database | PBE | relaxed; values from VASP
! - Electronic total energy: -9.0046 eV/atom
! - Fermi-level density of states: 7.049 states/eV per cell
! - ΔE_f (raw): -2705 meV per atom
&SYSTEM
  ibrav = 0, nat = 12, ntyp = 3
/
ATOMIC_SPECIES
O 16.00 O.upf
Nb 92.91 Nb.upf
Ti 47.87 Ti.upf
ATOMIC_POSITIONS crystal
O 0.799 0.155 0.351
O 0.299 0.345 0.649
O 0.696 0.147 0.846
O 0.701 0.655 0.351
O 0.304 0.853 0.154
O 0.196 0.353 0.154
O 0.201 0.845 0.649
Nb 0.500 0.500 0.000
Nb 0.000 0.000 0.000
Ti 0.000 0.500 0.500
O 0.804 0.647 0.846
Ti 0.500 0.000 0.500
CELL_PARAMETERS angstrom
-2.857 -3.747 -0.878
2.020 -0.301 -5.293
2.803 -3.042 3.859